Computed, not measured: crystalline Cs5Te2H4 at its relaxed geometry at the PBE level of DFT.

Unit cell a=8.124 b=7.905 c=8.492 alpha=89.47 beta=61.42 gamma=59.08
Element x y z (fractional)
H 0.543 0.942 0.971
Te 0.295 0.729 0.681
H 0.235 0.429 0.102
H 0.765 0.571 0.898
Cs 0.720 0.235 0.814
Cs 0.000 0.500 0.500
Te 0.705 0.271 0.319
Cs 0.231 0.235 0.814
Cs 0.280 0.765 0.186
H 0.457 0.058 0.029
Cs 0.769 0.765 0.186

Output
* electronic total energy: -2.569 eV/atom
* N(E_F): 0.19 states/eV/atom